# GdTm2Mg3CdIn2, optimized geometry, DFT PBE
# space group = Amm2
# V = 25.0 Å³ per atom
# DFT total energy = -3.085 eV/atom
data_GdTm2Mg3CdIn2
_space_group_name_H-M_alt 'P 1'
_space_group_IT_number 1
_space_group_name_Hall 'P 1'
_cell_length_a 4.617
_cell_length_b 7.519
_cell_length_c 7.519
_cell_angle_alpha 120.44
_cell_angle_beta 90.00
_cell_angle_gamma 90.00
loop_
_atom_site_label
_atom_site_type_symbol
_atom_site_fract_x
_atom_site_fract_y
_atom_site_fract_z
Cd1 Cd 0.000 0.995 0.995
Mg1 Mg 0.500 0.240 0.000
Gd1 Gd 0.000 0.429 0.429
Tm1 Tm 0.000 0.001 0.573
In1 In 0.500 0.333 0.670
In2 In 0.500 0.670 0.333
Tm2 Tm 0.000 0.573 0.001
Mg2 Mg 0.500 0.000 0.240
Mg3 Mg 0.500 0.759 0.759